The following is a DFT calculation (PBE) of crystalline Ba2BeNi at its relaxed geometry.

POSCAR file:
```
Ba2BeNi
1.0
4.152 0.000 0.000
0.000 4.439 0.012
0.000 2.200 7.357
Ba Ni Be
2 1 1
direct
0.500 0.249 0.376
0.000 0.997 0.882
0.500 0.602 0.672
0.000 0.652 0.570
```

## Properties
Its relative energy among the computed polymorphs is 0.049 eV/atom. The value obtained for the theoretical density is 4.20 g cm⁻³. As for the space group: No. 38. The value obtained for the uncorrected energy is -3.185 eV/atom. For the formation energy, the calculation gives 0.153 eV per atom.